DFT (PBE-GGA) results for an optimized crystal structure of Na2N2Cl.

Properties
The space-group type is No. 12. As for the crystal system: monoclinic.

Unit cell a=3.900 b=3.926 c=7.049 alpha=77.69 beta=73.94 gamma=60.22
Last column: magnetic moment on the atom in μB.
Fractional positions:
Cl (0.000, 0.000, 0.000)  0.01
N (0.452, 0.649, 0.446)  0.27
N (0.548, 0.351, 0.554)  0.27
Na (0.764, 0.721, 0.752)  0.00
Na (0.236, 0.279, 0.248)  0.00



DFT (PBE-GGA) results for an optimized crystal structure of NaNCl2.

Properties
The space-group type is No. 166. As for the crystal system: trigonal.

Unit cell a=7.860 b=7.860 c=7.860 alpha=30.39 beta=30.39 gamma=30.39
Last column: magnetic moment on the atom in μB.
Fractional positions:
Cl (0.889, 0.889, 0.889)  0.01
Cl (0.111, 0.111, 0.111)  0.01
Na (0.000, 0.000, 0.000)  0.00
N (0.500, 0.500, 0.500)  1.40



DFT (PBE-GGA) results for an optimized crystal structure of NaNCl2.

Properties
The space-group type is No. 166. As for the crystal system: trigonal.

Unit cell a=7.416 b=7.416 c=7.416 alpha=33.99 beta=33.99 gamma=33.99
Last column: magnetic moment on the atom in μB.
Fractional positions:
N (0.000, 0.000, 0.000)  1.25
Na (0.500, 0.500, 0.500)  0.00
Cl (0.100, 0.100, 0.100)  0.06
Cl (0.900, 0.900, 0.900)  0.06



DFT (PBE-GGA) results for an optimized crystal structure of Na2N2Cl3.

Properties
The space-group type is No. 12. As for the crystal system: monoclinic.

Unit cell a=3.823 b=3.821 c=12.939 alpha=73.30 beta=81.49 gamma=59.98
Last column: magnetic moment on the atom in μB.
Fractional positions:
Cl (0.000, 0.000, 0.000)  0.01
Cl (0.341, 0.695, 0.623)  0.23
Cl (0.659, 0.305, 0.377)  0.23
Na (0.669, 0.800, 0.862)  0.00
Na (0.331, 0.200, 0.138)  0.00
N (0.338, 0.570, 0.754)  0.79
N (0.662, 0.430, 0.246)  0.79



DFT (PBE-GGA) results for an optimized crystal structure of NaNCl2.

Properties
The space-group type is No. 12. As for the crystal system: monoclinic.

Unit cell a=3.293 b=8.467 c=7.924 alpha=71.21 beta=90.00 gamma=101.21
Last column: magnetic moment on the atom in μB.
Fractional positions:
Cl (0.084, 0.169, 0.303)  0.00
Cl (0.916, 0.831, 0.697)  0.00
Cl (0.807, 0.614, 0.189)  0.02
Cl (0.193, 0.386, 0.811)  0.02
N (0.337, 0.673, 0.241)  0.08
N (0.663, 0.327, 0.759)  0.08
Na (0.441, 0.881, 0.398)  0.00
Na (0.559, 0.119, 0.602)  0.00



DFT (PBE-GGA) results for an optimized crystal structure of NaNCl.

Properties
The space-group type is No. 12. As for the crystal system: monoclinic.

Unit cell a=4.648 b=4.648 c=10.008 alpha=88.92 beta=104.99 gamma=118.94
Last column: magnetic moment on the atom in μB.
Fractional positions:
Na (0.234, 0.624, 0.858)  0.00
Na (0.766, 0.376, 0.142)  0.00
N (0.236, 0.121, 0.357)  1.91
N (0.764, 0.879, 0.643)  1.91
Cl (0.564, 0.284, 0.848)  0.05
Cl (0.436, 0.716, 0.152)  0.05



DFT (PBE-GGA) results for an optimized crystal structure of NaNCl3.

Properties
The space-group type is No. 1. As for the crystal system: triclinic.

Unit cell a=5.093 b=5.598 c=17.504 alpha=144.52 beta=98.66 gamma=91.82
Last column: magnetic moment on the atom in μB.
Fractional positions:
Na (0.240, 0.438, 0.539)  0.00
Na (0.805, 0.139, 0.615)  0.00
N (0.208, 0.709, 0.836)  1.07
N (0.835, 0.870, 0.319)  1.07
Cl (0.506, 0.762, 0.899)  0.26
Cl (0.971, 0.518, 0.969)  0.01
Cl (0.809, 0.748, 0.658)  0.02
Cl (0.071, 0.053, 0.182)  0.01
Cl (0.539, 0.823, 0.256)  0.26
Cl (0.236, 0.831, 0.497)  0.02



DFT (PBE-GGA) results for an optimized crystal structure of Na4NCl2.

Properties
The space-group type is No. 139. As for the crystal system: tetragonal.

Unit cell a=4.698 b=4.698 c=20.256 alpha=83.34 beta=83.34 gamma=90.00
Last column: magnetic moment on the atom in μB.
Fractional positions:
Na (0.581, 0.581, 0.839)  -0.01
Na (0.419, 0.419, 0.161)  -0.01
Na (0.500, 0.000, 0.000)  -0.01
Na (0.000, 0.500, 0.000)  -0.01
N (0.000, 0.000, 0.000)  0.49
Cl (0.640, 0.640, 0.720)  0.20
Cl (0.360, 0.360, 0.280)  0.20



Across the entries above, VASP energy takes the values -24.70; -9.91; -12.47; -24.73; -25.24; -19.47; -31.25; -16.40 eV per cell, respectively.
Across the entries above, energy relative to the elements, uncorrected takes the values -0.71; 0.86; 0.22; 0.01; 0.18; 0.59; -0.09; 0.13 eV per atom, respectively.